(1)
Here is an optimized crystal structure of CrGaCuNi from Alexandria. Energies are from PBE.

```
CrGaCuNi
1.0
-1.2593 0.7152 3.8979
2.6342 -0.5505 3.1700
1.4588 3.2880 2.0860
Ni Cu Ga Cr
1 1 1 1
direct
0.7500 0.7500 0.7500
0.2500 0.2500 0.2500
0.5000 0.5000 0.5000
0.0000 0.0000 0.0000
```

Summary:
crystal system = cubic
energy of formation = -0.082 eV/f.u.
raw total energy = -0.415 Ry/atom

---

(2)
Here is an optimized crystal structure of Sn3GeAu from Alexandria. Energies are from PBE.

```
Sn3GeAu
1.0
5.2886 0.0000 0.0000
0.0000 5.2886 0.0000
0.0000 0.0000 5.2886
Ge Sn Au
1 3 1
direct
0.0000 0.0000 0.0000
0.0000 0.0000 0.5000
0.0000 0.5000 0.0000
0.5000 0.0000 0.0000
0.5000 0.5000 0.5000
```

Summary:
polymorph energy (0 for the lowest one) = 106 meV/atom
crystal system = cubic
energy of formation = 2.998 eV/f.u.
raw total energy = -0.249 Ry/atom

---

(3)
Here is an optimized crystal structure of ZnBiSe2Br from Alexandria. Energies are from PBE.

```
ZnBiSe2Br
1.0
-4.9399 -1.2317 2.1767
2.3937 -3.7249 3.3246
0.7446 4.0140 3.9612
Br Zn Se Bi
1 1 2 1
direct
0.0000 0.0000 0.5000
0.5000 0.5000 0.5000
0.5000 0.0000 0.0000
0.0000 0.5000 0.0000
0.0000 0.0000 0.0000
```

Summary:
polymorph energy (0 for the lowest one) = 291 meV/atom
energy relative to the elements, uncorrected = 0.299 eV/atom
crystal system = tetragonal
raw total energy = -0.181 Ry/atom

---

Number 1: calculated density 7968 kg/m³. Number 2: calculated density 7025 kg/m³. Number 3: calculated density 4877 kg/m³.